Record 1
DFT (PBE-GGA) results for crystalline La2Pr2CCl5 at its relaxed geometry.

Summary:
Excess energy over the best structure of this formula in the dataset in eV/atom: 0.000
Space-group type: C2/m
Crystal system: monoclinic

Lattice parameters (Å, degrees): 9.2190 9.2190 8.1745 104.90 104.90 24.73
Fractional positions:
La  0.1480  0.1480  0.0917
La  0.8520  0.8520  0.9083
Pr  0.4984  0.4984  0.2142
Pr  0.5016  0.5016  0.7858
C  0.0000  0.0000  0.0000
Cl  0.0000  0.0000  0.5000
Cl  0.3308  0.3308  0.1581
Cl  0.3377  0.3377  0.6479
Cl  0.6623  0.6623  0.3521
Cl  0.6692  0.6692  0.8419

---

Record 2
DFT (PBE-GGA) results for crystalline La2Pr2C2Cl5 at its relaxed geometry.

Summary:
Calculated total energy in eV per atom: -5.924
Space-group type: Immm
Crystal system: orthorhombic

Lattice parameters (Å, degrees): 9.8122 9.8122 9.8122 156.89 132.19 53.74
Fractional positions:
La  0.1712  0.1712  0.0000
La  0.8288  0.8288  0.0000
Pr  0.2119  0.5000  0.7119
Pr  0.7881  0.5000  0.2881
C  0.0407  0.0407  0.0000
C  0.9593  0.9593  0.0000
Cl  0.1073  0.3339  0.7734
Cl  0.4395  0.6661  0.7734
Cl  0.5000  0.0000  0.5000
Cl  0.5605  0.3339  0.2266
Cl  0.8927  0.6661  0.2266

---

Record 3
DFT (PBE-GGA) results for crystalline La2Pr2CCl5 at its relaxed geometry.

Summary:
Excess energy over the best structure of this formula in the dataset in eV/atom: 0.005
Space-group type: C2/m
Crystal system: monoclinic

Lattice parameters (Å, degrees): 9.2128 9.2128 8.2808 104.46 104.46 24.80
Fractional positions:
La  0.0019  0.0019  0.2842
La  0.9981  0.9981  0.7158
Pr  0.3539  0.3539  0.4114
Pr  0.6461  0.6461  0.5886
C  0.5000  0.5000  0.5000
Cl  0.1645  0.1645  0.8434
Cl  0.1721  0.1721  0.3512
Cl  0.5000  0.5000  0.0000
Cl  0.8279  0.8279  0.6488
Cl  0.8355  0.8355  0.1566